PBE Na5NpS4, optimized geometry; total magnetic moment = 4.00 μB per formula unit; raw formation energy = -1.109 eV per atom
1.0
4.2561 0.0000 0.0000
0.0000 7.4336 -1.3033
-2.1281 -2.3810 8.2413
Na S Np
5 4 1
direct
0.1755 0.4074 0.3509 Na
0.8245 0.5926 0.6491 Na
0.5000 0.5000 0.0000 Na
0.8243 0.0559 0.6487 Na
0.1757 0.9441 0.3513 Na
0.6913 0.1914 0.3827 S
0.9997 0.2450 0.9994 S
0.3087 0.8086 0.6173 S
0.0003 0.7550 0.0006 S
0.5000 0.0000 0.0000 Np


PBE Na3Np4S8, optimized geometry; total magnetic moment = 8.02 μB per formula unit; raw formation energy = -1.267 eV per atom
1.0
7.9731 -0.0655 -0.0940
-3.8505 6.9682 0.0629
-3.8505 -2.3600 6.5567
Na S Np
3 8 4
direct
0.5000 0.5000 0.0000 Na
0.5000 0.5000 0.5000 Na
0.5000 0.0000 0.5000 Na
0.5321 0.7767 0.7767 S
0.0000 0.7622 0.2378 S
0.0000 0.2378 0.7622 S
0.9902 0.2415 0.2415 S
0.0098 0.7585 0.7585 S
0.5000 0.2434 0.7566 S
0.4679 0.2233 0.2233 S
0.5000 0.7566 0.2434 S
0.0000 0.5000 0.0000 Np
0.5000 0.0000 0.0000 Np
0.0000 0.0000 0.5000 Np
0.0000 0.0000 0.0000 Np


PBE Na2Np3S8, optimized geometry; total magnetic moment = 7.00 μB per formula unit; raw formation energy = -1.158 eV per atom
1.0
6.5214 0.1451 -2.0437
-1.3922 6.7972 -3.9597
0.1905 -0.0207 7.9562
S Np Na
8 3 2
direct
0.3898 0.8783 0.2147 S
0.0957 0.8949 0.7898 S
0.9043 0.1051 0.2102 S
0.3898 0.3364 0.2147 S
0.6102 0.6636 0.7853 S
0.9445 0.6111 0.2221 S
0.0555 0.3889 0.7779 S
0.6102 0.1217 0.7853 S
0.0000 0.7446 0.0000 Np
0.5000 0.0000 0.0000 Np
0.0000 0.2554 0.0000 Np
0.6492 0.7258 0.4516 Na
0.3508 0.2742 0.5484 Na


PBE NaNp2S3, optimized geometry; total magnetic moment = 8.91 μB per formula unit; raw formation energy = -1.359 eV per atom
1.0
3.9712 0.0000 0.0000
0.0000 5.5620 0.0000
-1.9856 -2.7810 6.0213
Np S Na
2 3 1
direct
0.8372 0.8372 0.1744 Np
0.1628 0.1628 0.8256 Np
0.5000 0.0000 0.5000 S
0.1777 0.6777 0.8553 S
0.8223 0.3223 0.1447 S
0.5000 0.5000 0.5000 Na


PBE Na3NpS4, optimized geometry; total magnetic moment = 2.00 μB per formula unit; raw formation energy = -0.949 eV per atom; relative energy among the computed polymorphs = 0.271 eV per atom
1.0
7.0845 0.0000 0.0000
0.0000 7.0845 0.0000
-3.5423 -3.5423 4.2367
S Np Na
4 1 3
direct
0.1213 0.6579 0.7792 S
0.3421 0.3421 0.2208 S
0.8787 0.8787 0.2208 S
0.6579 0.1213 0.7792 S
0.0000 0.0000 0.0000 Np
0.7500 0.2500 0.5000 Na
0.2500 0.7500 0.5000 Na
0.5000 0.5000 0.0000 Na


PBE NaNp4S7, optimized geometry; total magnetic moment = 8.12 μB per formula unit; raw formation energy = -1.318 eV per atom
1.0
-3.4620 -1.0044 1.3271
-0.3600 -0.2489 -6.6870
4.1776 -10.3715 3.0485
S Np Na
7 4 1
direct
0.7301 0.4601 0.3463 S
0.9643 0.9285 0.2116 S
0.4840 0.9680 0.4643 S
0.3496 0.6991 0.9529 S
0.2463 0.4925 0.6547 S
0.0463 0.0927 0.7899 S
0.6641 0.3282 0.0547 S
0.3107 0.6214 0.1994 Np
0.0068 0.0136 0.9995 Np
0.1142 0.2285 0.4292 Np
0.7024 0.4047 0.8168 Np
0.8813 0.7626 0.5807 Na


PBE NaNp4S5, optimized geometry; total magnetic moment = 0.08 μB per formula unit; raw formation energy = -1.308 eV per atom
1.0
-3.6804 1.3173 -0.1145
-1.9515 0.9145 6.4606
0.9690 8.6352 1.4105
S Np Na
5 4 1
direct
0.3938 0.3143 0.8981 S
0.6062 0.6857 0.1019 S
0.8032 0.0923 0.3012 S
0.0000 0.5000 0.5000 S
0.1968 0.9077 0.6988 S
0.2021 0.3934 0.2025 Np
0.5992 0.2054 0.5962 Np
0.4008 0.7946 0.4038 Np
0.7979 0.6066 0.7975 Np
0.0000 0.0000 0.0000 Na


PBE Na4Np3S8, optimized geometry; total magnetic moment = 9.00 μB per formula unit; raw formation energy = -1.178 eV per atom; relative energy among the computed polymorphs = 0.086 eV per atom
1.0
7.8377 -0.2110 -0.3031
-3.9124 6.9489 0.1613
-3.9124 -2.2610 6.5728
S Na Np
8 4 3
direct
0.0000 0.2497 0.7503 S
0.5144 0.2680 0.2680 S
0.0437 0.2707 0.2707 S
0.4856 0.7320 0.7320 S
0.5000 0.2568 0.7432 S
0.5000 0.7432 0.2568 S
0.9563 0.7293 0.7293 S
0.0000 0.7503 0.2497 S
0.0000 0.0000 0.5000 Na
0.5000 0.0000 0.0000 Na
0.0000 0.0000 0.0000 Na
0.0000 0.5000 0.0000 Na
0.5000 0.0000 0.5000 Np
0.5000 0.5000 0.5000 Np
0.5000 0.5000 0.0000 Np


PBE Na2Np2S5, optimized geometry; total magnetic moment = 6.00 μB per formula unit; raw formation energy = -1.066 eV per atom; relative energy among the computed polymorphs = 0.000 eV per atom
1.0
3.7568 0.0000 0.0000
-1.8784 9.0343 1.1491
0.0000 -0.7064 6.7606
Na Np S
2 2 5
direct
0.1792 0.3585 0.8559 Na
0.8208 0.6415 0.1441 Na
0.5387 0.0775 0.2826 Np
0.4613 0.9225 0.7174 Np
0.3336 0.6672 0.8485 S
0.0808 0.1616 0.5524 S
0.0000 0.0000 0.0000 S
0.9192 0.8384 0.4476 S
0.6664 0.3328 0.1515 S


PBE NaNp5S8, optimized geometry; total magnetic moment = 20.00 μB per formula unit; raw formation energy = -1.414 eV per atom
1.0
-3.2170 -1.0531 -6.3438
3.5555 -5.9515 1.9079
-4.9671 1.5280 4.9694
Na S Np
1 8 5
direct
0.2500 0.5000 0.7500 Na
0.6380 0.3974 0.8813 S
0.7594 0.2433 0.3620 S
0.2773 0.2454 0.3727 S
0.4838 0.6026 0.2406 S
0.9681 0.0954 0.7227 S
0.1273 0.7546 0.0319 S
0.1187 0.7567 0.5162 S
0.6273 0.9046 0.8727 S
0.5000 0.0000 0.5000 Np
0.3688 0.1210 0.9919 Np
0.0081 0.3769 0.1290 Np
0.7521 0.6231 0.6312 Np
0.8710 0.8790 0.2479 Np


PBE NaNpS, optimized geometry; total magnetic moment = 0.31 μB per formula unit; raw formation energy = -0.565 eV per atom
1.0
3.4031 0.0000 0.0000
0.0000 3.4031 0.0000
-1.7015 -1.7015 11.4702
S Np Na
2 2 2
direct
0.1532 0.1532 0.3063 S
0.8468 0.8468 0.6937 S
0.2723 0.2723 0.5446 Np
0.7277 0.7277 0.4554 Np
0.5771 0.5771 0.1543 Na
0.4229 0.4229 0.8457 Na


PBE Na2Np3S6, optimized geometry; total magnetic moment = 11.00 μB per formula unit; raw formation energy = -1.364 eV per atom
1.0
-3.5435 -5.5388 2.2320
-3.1952 -4.1456 -4.5592
4.3423 -5.5607 0.2593
Np S Na
3 6 2
direct
0.6651 0.6698 0.0000 Np
0.0000 0.0000 0.0000 Np
0.3349 0.3302 0.0000 Np
0.5945 0.3374 0.2174 S
0.0681 0.3374 0.7826 S
0.7435 0.0000 0.7806 S
0.9319 0.6626 0.2174 S
0.4055 0.6626 0.7826 S
0.2565 0.0000 0.2194 S
0.8326 0.3347 0.5000 Na
0.1674 0.6653 0.5000 Na